Density functional theory data (PBE) for crystalline Rb12ZnO7 at its relaxed geometry.

* formation energy from raw total energies: -794 meV/atom
* space-group type: R-3
* VASP energy: -63.5 eV per cell

Cell lengths 8.9415, 8.9415, 8.9415 Å; angles 106.60, 106.60, 106.60 degrees
Atoms (fractional coordinates):
Rb 0.0747 0.6956 0.1959
Rb 0.1552 0.3515 0.4270
Rb 0.1959 0.0747 0.6956
Rb 0.3044 0.8041 0.9253
Rb 0.3515 0.4270 0.1552
Rb 0.4270 0.1552 0.3515
Rb 0.5730 0.8448 0.6485
Rb 0.6485 0.5730 0.8448
Rb 0.6956 0.1959 0.0747
Rb 0.8041 0.9253 0.3044
Rb 0.8448 0.6485 0.5730
Rb 0.9253 0.3044 0.8041
Zn 0.0000 0.0000 0.0000
O 0.0200 0.3118 0.1082
O 0.1082 0.0200 0.3118
O 0.3118 0.1082 0.0200
O 0.5000 0.5000 0.5000
O 0.6882 0.8918 0.9800
O 0.8918 0.9800 0.6882
O 0.9800 0.6882 0.8918